Record 1
This record from OQMD via LeMat-Bulk describes a geometry-optimized InTeWAuSe2 structure. The functional is GGA-PBE.

Properties
Space group: No. 63
DFT total energy, eV/atom: -4.770

Unit cell a=8.269 b=8.269 c=10.473 alpha=90.00 beta=90.00 gamma=155.43
Site moments in Bohr magnetons follow the coordinates.
Element x y z (fractional)
Au 0.438 0.562 0.250  0.03
Au 0.562 0.438 0.750  0.03
In 0.771 0.229 0.250  0.00
In 0.229 0.771 0.750  0.00
Se 0.383 0.617 0.024  -0.01
Se 0.383 0.617 0.476  0.00
Se 0.617 0.383 0.524  0.00
Se 0.617 0.383 0.976  -0.01
Te 0.080 0.920 0.250  -0.03
Te 0.920 0.080 0.750  -0.03
W 0.000 0.000 0.000  0.54
W 0.000 0.000 0.500  0.54

Record 2
This record from OQMD via LeMat-Bulk describes a geometry-optimized TlCu2As2 structure. The functional is GGA-PBE.

Properties
Space group: No. 139
DFT total energy, eV/atom: -3.778

Unit cell a=4.340 b=4.340 c=5.948 alpha=111.40 beta=111.40 gamma=90.00
Element x y z (fractional)
As 0.625 0.625 0.251
As 0.375 0.375 0.749
Cu 0.750 0.250 0.500
Cu 0.250 0.750 0.500
Tl 0.000 0.000 0.000

Record 3
This record from OQMD via LeMat-Bulk describes a geometry-optimized PtAuNO structure. The functional is GGA-PBE.

Properties
Space group: No. 29
E above lowest polymorph, meV/atom: 405.6

Unit cell a=5.648 b=7.403 c=5.530 alpha=90.00 beta=90.00 gamma=90.00
Element x y z (fractional)
Au 0.992 0.072 0.384
Au 0.492 0.928 0.384
Au 0.508 0.072 0.884
Au 0.008 0.928 0.884
N 0.878 0.163 0.049
N 0.378 0.837 0.049
N 0.622 0.163 0.549
N 0.122 0.837 0.549
O 0.400 0.461 0.219
O 0.900 0.539 0.219
O 0.100 0.461 0.719
O 0.600 0.539 0.719
Pt 0.128 0.340 0.051
Pt 0.628 0.660 0.051
Pt 0.372 0.340 0.551
Pt 0.872 0.660 0.551

Record 4
This record from OQMD via LeMat-Bulk describes a geometry-optimized PrPPtO structure. The functional is GGA-PBE.

Properties
Space group: No. 129
E above lowest polymorph, meV/atom: 0.0

Unit cell a=4.207 b=4.207 c=7.984 alpha=90.00 beta=90.00 gamma=90.00
Element x y z (fractional)
O 0.750 0.250 0.000
O 0.250 0.750 0.000
P 0.750 0.750 0.351
P 0.250 0.250 0.649
Pr 0.250 0.250 0.141
Pr 0.750 0.750 0.859
Pt 0.750 0.250 0.500
Pt 0.250 0.750 0.500

Please write out number 2 again, unchanged.
This record from OQMD via LeMat-Bulk describes a geometry-optimized TlCu2As2 structure. The functional is GGA-PBE.

Properties
Space group: No. 139
DFT total energy, eV/atom: -3.778

Unit cell a=4.340 b=4.340 c=5.948 alpha=111.40 beta=111.40 gamma=90.00
Element x y z (fractional)
As 0.625 0.625 0.251
As 0.375 0.375 0.749
Cu 0.750 0.250 0.500
Cu 0.250 0.750 0.500
Tl 0.000 0.000 0.000